This record from the Alexandria database describes a relaxed NaCaAs crystal. The functional is PBE.

a = 5.266 Å, b = 5.266 Å, c = 5.266 Å
α = 133.80°, β = 133.80°, γ = 67.39°
Fractional coordinates of all 3 atoms:
Na 0.000 0.000 0.000
Ca 0.314 0.314 0.000
As 0.672 0.672 0.000

Calculated values
**Magnetic moment**: 0.00 Bohr magnetons per cell
**V**: 75 Å³/f.u.
**E**: -9.71 eV/f.u.

This record from the Alexandria database describes a relaxed NaCa2As crystal. The functional is PBE.

a = 3.856 Å, b = 3.856 Å, c = 7.986 Å
α = 90.00°, β = 90.00°, γ = 90.00°
Fractional coordinates of all 4 atoms:
Na 0.000 0.000 0.000
Ca 0.500 0.500 0.311
Ca 0.500 0.500 0.689
As 0.000 0.000 0.500

Calculated values
**Magnetic moment**: 0.00 Bohr magnetons per cell
**V**: 119 Å³/f.u.
**E**: -12.18 eV/f.u.

This record from the Alexandria database describes a relaxed NaCa2As crystal. The functional is PBE.

a = 8.915 Å, b = 8.915 Å, c = 8.915 Å
α = 28.52°, β = 28.52°, γ = 28.52°
Fractional coordinates of all 4 atoms:
Na 0.000 0.000 0.000
Ca 0.555 0.555 0.555
Ca 0.775 0.775 0.775
As 0.164 0.164 0.164

Calculated values
**Magnetic moment**: 0.00 Bohr magnetons per cell
**V**: 143 Å³/f.u.
**E**: -12.52 eV/f.u.

This record from the Alexandria database describes a relaxed NaCaAs crystal. The functional is PBE.

a = 5.012 Å, b = 5.012 Å, c = 7.018 Å
α = 90.00°, β = 90.00°, γ = 90.00°
Fractional coordinates of all 6 atoms:
Na 0.250 0.750 0.000
Na 0.750 0.250 0.000
Ca 0.250 0.750 0.500
Ca 0.750 0.250 0.500
As 0.250 0.250 0.271
As 0.750 0.750 0.729

Calculated values
**Magnetic moment**: 0.00 Bohr magnetons per cell
**V**: 88 Å³/f.u.
**E**: -10.49 eV/f.u.

This record from the Alexandria database describes a relaxed NaCa3As crystal. The functional is PBE.

a = 5.720 Å, b = 5.720 Å, c = 5.720 Å
α = 90.00°, β = 90.00°, γ = 90.00°
Fractional coordinates of all 5 atoms:
Na 0.000 0.000 0.000
Ca 0.000 0.000 0.500
Ca 0.000 0.500 0.000
Ca 0.500 0.000 0.000
As 0.500 0.500 0.500

Calculated values
**Magnetic moment**: 0.00 Bohr magnetons per cell
**V**: 187 Å³/f.u.
**Energy above the lowest structure with this stoichiometry**: 944 meV/atom

This record from the Alexandria database describes a relaxed NaCaAs2 crystal. The functional is PBE.

a = 6.401 Å, b = 6.401 Å, c = 6.401 Å
α = 102.15°, β = 102.15°, γ = 125.39°
Fractional coordinates of all 8 atoms:
Na 0.000 0.000 0.000
Na 0.750 0.250 0.500
Ca 0.250 0.750 0.500
Ca 0.500 0.500 0.000
As 0.118 0.125 0.493
As 0.375 0.882 0.007
As 0.632 0.625 0.507
As 0.875 0.368 0.993

Calculated values
**Magnetic moment**: 0.00 Bohr magnetons per cell
**V**: 95 Å³/f.u.
**Energy above the lowest structure with this stoichiometry**: 258 meV/atom

This record from the Alexandria database describes a relaxed NaCaAsO4 crystal. The functional is PBE.

a = 5.536 Å, b = 5.536 Å, c = 7.225 Å
α = 90.00°, β = 90.00°, γ = 115.40°
Fractional coordinates of all 14 atoms:
Na 0.178 0.822 0.750
Na 0.822 0.178 0.250
Ca 0.500 0.500 0.000
Ca 0.500 0.500 0.500
As 0.152 0.848 0.250
As 0.848 0.152 0.750
O 0.196 0.275 0.750
O 0.256 0.744 0.057
O 0.256 0.744 0.443
O 0.275 0.196 0.250
O 0.725 0.804 0.750
O 0.744 0.256 0.557
O 0.744 0.256 0.943
O 0.804 0.725 0.250

Calculated values
**Magnetic moment**: 0.00 Bohr magnetons per cell
**V**: 100 Å³/f.u.
**Energy above the lowest structure with this stoichiometry**: 27 meV/atom

This record from the Alexandria database describes a relaxed NaCaAsO4 crystal. The functional is PBE.

a = 6.361 Å, b = 6.361 Å, c = 6.361 Å
α = 122.35°, β = 116.55°, γ = 91.03°
Fractional coordinates of all 14 atoms:
Na 0.500 0.000 0.000
Na 0.500 0.500 0.500
Ca 0.000 0.000 0.000
Ca 0.500 0.000 0.500
As 0.123 0.373 0.750
As 0.877 0.627 0.250
O 0.199 0.735 0.464
O 0.229 0.265 0.964
O 0.239 0.258 0.520
O 0.239 0.719 0.980
O 0.761 0.281 0.020
O 0.761 0.742 0.480
O 0.771 0.735 0.036
O 0.801 0.265 0.536

Calculated values
**Magnetic moment**: 0.00 Bohr magnetons per cell
**V**: 91 Å³/f.u.
**Energy above the lowest structure with this stoichiometry**: 130 meV/atom

This record from the Alexandria database describes a relaxed NaCaAsO4 crystal. The functional is PBE.

a = 11.627 Å, b = 6.731 Å, c = 5.314 Å
α = 90.00°, β = 90.00°, γ = 90.00°
Fractional coordinates of all 28 atoms:
Na 0.000 0.000 0.000
Na 0.000 0.500 0.000
Na 0.500 0.000 0.500
Na 0.500 0.500 0.500
Ca 0.219 0.250 0.495
Ca 0.281 0.750 0.995
Ca 0.719 0.250 0.005
Ca 0.781 0.750 0.505
As 0.098 0.750 0.432
As 0.402 0.250 0.932
As 0.598 0.750 0.068
As 0.902 0.250 0.568
O 0.040 0.250 0.685
O 0.104 0.750 0.754
O 0.169 0.550 0.294
O 0.169 0.950 0.294
O 0.331 0.050 0.794
O 0.331 0.450 0.794
O 0.396 0.250 0.254
O 0.460 0.750 0.185
O 0.540 0.250 0.815
O 0.604 0.750 0.746
O 0.669 0.550 0.206
O 0.669 0.950 0.206
O 0.831 0.050 0.706
O 0.831 0.450 0.706
O 0.896 0.250 0.246
O 0.960 0.750 0.315

Calculated values
**Magnetic moment**: 0.00 Bohr magnetons per cell
**V**: 104 Å³/f.u.
**Energy above the lowest structure with this stoichiometry**: 0 meV/atom

This record from the Alexandria database describes a relaxed Na2CaAs2O6 crystal. The functional is PBE.

a = 5.763 Å, b = 5.763 Å, c = 6.115 Å
α = 90.00°, β = 90.00°, γ = 120.00°
Fractional coordinates of all 11 atoms:
Na 0.333 0.667 0.388
Na 0.667 0.333 0.612
Ca 0.000 0.000 0.000
As 0.333 0.667 0.879
As 0.667 0.333 0.121
O 0.067 0.695 0.774
O 0.305 0.371 0.774
O 0.371 0.067 0.226
O 0.629 0.933 0.774
O 0.695 0.629 0.226
O 0.933 0.305 0.226

Calculated values
**Magnetic moment**: 2.00 Bohr magnetons per cell
**V**: 176 Å³/f.u.
**E**: -61.52 eV/f.u.

This record from the Alexandria database describes a relaxed NaCaAsO3 crystal. The functional is PBE.

a = 6.413 Å, b = 3.208 Å, c = 10.343 Å
α = 90.00°, β = 92.76°, γ = 90.00°
Fractional coordinates of all 12 atoms:
Na 0.094 0.250 0.346
Na 0.906 0.750 0.654
Ca 0.431 0.750 0.626
Ca 0.569 0.250 0.374
As 0.263 0.250 0.889
As 0.737 0.750 0.111
O 0.179 0.250 0.725
O 0.334 0.750 0.411
O 0.432 0.750 0.876
O 0.568 0.250 0.124
O 0.666 0.250 0.589
O 0.821 0.750 0.275

Calculated values
**Magnetic moment**: 0.00 Bohr magnetons per cell
**V**: 106 Å³/f.u.
**E**: -33.62 eV/f.u.

This record from the Alexandria database describes a relaxed Na2CaAsO4 crystal. The functional is PBE.

a = 5.997 Å, b = 5.997 Å, c = 5.997 Å
α = 127.51°, β = 127.51°, γ = 77.41°
Fractional coordinates of all 8 atoms:
Na 0.000 0.000 0.000
Na 0.750 0.250 0.500
Ca 0.500 0.500 0.000
As 0.250 0.750 0.500
O 0.165 0.649 0.094
O 0.351 0.445 0.516
O 0.555 0.071 0.906
O 0.929 0.835 0.484

Calculated values
**Magnetic moment**: 0.00 Bohr magnetons per cell
**V**: 132 Å³/f.u.
**E**: -43.11 eV/f.u.

This record from the Alexandria database describes a relaxed Na2CaAs2O7 crystal. The functional is PBE.

a = 8.094 Å, b = 8.094 Å, c = 8.094 Å
α = 41.02°, β = 41.02°, γ = 41.02°
Fractional coordinates of all 12 atoms:
Na 0.237 0.237 0.237
Na 0.763 0.763 0.763
Ca 0.000 0.000 0.000
As 0.420 0.420 0.420
As 0.580 0.580 0.580
O 0.134 0.359 0.710
O 0.290 0.641 0.866
O 0.359 0.710 0.134
O 0.500 0.500 0.500
O 0.641 0.866 0.290
O 0.710 0.134 0.359
O 0.866 0.290 0.641

Calculated values
**Magnetic moment**: 0.00 Bohr magnetons per cell
**V**: 206 Å³/f.u.
**E**: -69.81 eV/f.u.

This record from the Alexandria database describes a relaxed Na2CaAs2Pb crystal. The functional is PBE.

a = 4.273 Å, b = 8.856 Å, c = 8.471 Å
α = 90.00°, β = 90.00°, γ = 90.00°
Fractional coordinates of all 12 atoms:
Na 0.000 0.095 0.000
Na 0.000 0.905 0.500
Na 0.500 0.201 0.277
Na 0.500 0.799 0.777
Ca 0.500 0.432 0.901
Ca 0.500 0.568 0.401
As 0.000 0.427 0.177
As 0.000 0.573 0.677
As 0.500 0.127 0.759
As 0.500 0.873 0.259
Pb 0.000 0.265 0.579
Pb 0.000 0.735 0.079

Calculated values
**Magnetic moment**: 0.00 Bohr magnetons per cell
**V**: 160 Å³/f.u.
**E**: -20.93 eV/f.u.

This record from the Alexandria database describes a relaxed NaCa2As3Pd4 crystal. The functional is PBE.

a = 4.282 Å, b = 4.282 Å, c = 10.797 Å
α = 90.00°, β = 90.00°, γ = 90.00°
Fractional coordinates of all 10 atoms:
Na 0.000 0.000 0.000
Ca 0.000 0.500 0.735
Ca 0.500 0.000 0.265
As 0.000 0.500 0.369
As 0.500 0.000 0.631
As 0.500 0.500 0.000
Pd 0.000 0.000 0.500
Pd 0.000 0.500 0.146
Pd 0.500 0.000 0.854
Pd 0.500 0.500 0.500

Calculated values
**Magnetic moment**: 0.00 Bohr magnetons per cell
**V**: 198 Å³/f.u.
**E**: -46.92 eV/f.u.

This record from the Alexandria database describes a relaxed NaCaAsPt2 crystal. The functional is PBE.

a = 4.804 Å, b = 4.804 Å, c = 4.990 Å
α = 90.00°, β = 90.00°, γ = 90.00°
Fractional coordinates of all 5 atoms:
Na 0.000 0.000 0.000
Ca 0.500 0.500 0.000
As 0.000 0.000 0.500
Pt 0.000 0.500 0.500
Pt 0.500 0.000 0.500

Calculated values
**Magnetic moment**: 0.00 Bohr magnetons per cell
**V**: 115 Å³/f.u.
**E**: -21.48 eV/f.u.

This record from the Alexandria database describes a relaxed Na2CaAsS4 crystal. The functional is PBE.

a = 7.886 Å, b = 7.886 Å, c = 7.886 Å
α = 122.68°, β = 117.61°, γ = 89.81°
Fractional coordinates of all 16 atoms:
Na 0.000 0.000 0.000
Na 0.500 0.000 0.000
Na 0.500 0.000 0.500
Na 0.500 0.500 0.500
Ca 0.000 0.500 0.500
Ca 0.500 0.500 0.000
As 0.000 0.000 0.500
As 0.000 0.500 0.000
S 0.216 0.250 0.966
S 0.216 0.750 0.466
S 0.226 0.228 0.502
S 0.226 0.725 0.998
S 0.774 0.275 0.002
S 0.774 0.772 0.498
S 0.784 0.250 0.534
S 0.784 0.750 0.034

Calculated values
**Magnetic moment**: 0.00 Bohr magnetons per cell
**V**: 173 Å³/f.u.
**E**: -33.07 eV/f.u.

This record from the Alexandria database describes a relaxed NaCaAsS4 crystal. The functional is PBE.

a = 7.777 Å, b = 7.777 Å, c = 7.777 Å
α = 122.41°, β = 116.73°, γ = 90.82°
Fractional coordinates of all 14 atoms:
Na 0.500 0.000 0.000
Na 0.500 0.500 0.500
Ca 0.000 0.000 0.000
Ca 0.500 0.000 0.500
As 0.120 0.370 0.750
As 0.880 0.630 0.250
S 0.213 0.737 0.476
S 0.238 0.263 0.976
S 0.244 0.255 0.511
S 0.244 0.733 0.989
S 0.756 0.267 0.011
S 0.756 0.745 0.489
S 0.762 0.737 0.024
S 0.787 0.263 0.524

Calculated values
**Magnetic moment**: 0.00 Bohr magnetons per cell
**V**: 167 Å³/f.u.
**E**: -29.61 eV/f.u.

This record from the Alexandria database describes a relaxed NaSr2CaAs crystal. The functional is PBE.

a = 6.138 Å, b = 6.138 Å, c = 5.756 Å
α = 90.00°, β = 90.00°, γ = 90.00°
Fractional coordinates of all 5 atoms:
Na 0.000 0.000 0.000
Sr 0.000 0.500 0.500
Sr 0.500 0.000 0.500
Ca 0.500 0.500 0.000
As 0.500 0.500 0.500

Calculated values
**Magnetic moment**: 0.01 Bohr magnetons per cell
**V**: 217 Å³/f.u.
**E**: -13.78 eV/f.u.

This record from the Alexandria database describes a relaxed NaCa2TeAs crystal. The functional is PBE.

a = 5.836 Å, b = 5.836 Å, c = 5.759 Å
α = 90.00°, β = 90.00°, γ = 90.00°
Fractional coordinates of all 5 atoms:
Na 0.000 0.000 0.000
Ca 0.000 0.500 0.500
Ca 0.500 0.000 0.500
Te 0.500 0.500 0.500
As 0.500 0.500 0.000

Calculated values
**Magnetic moment**: 0.00 Bohr magnetons per cell
**V**: 196 Å³/f.u.
**E**: -14.26 eV/f.u.

This record from the Alexandria database describes a relaxed NaCa2TlAs crystal. The functional is PBE.

a = 5.621 Å, b = 5.621 Å, c = 5.509 Å
α = 90.00°, β = 90.00°, γ = 90.00°
Fractional coordinates of all 5 atoms:
Na 0.000 0.000 0.000
Ca 0.000 0.500 0.500
Ca 0.500 0.000 0.500
Tl 0.500 0.500 0.000
As 0.000 0.000 0.500

Calculated values
**Magnetic moment**: 0.00 Bohr magnetons per cell
**V**: 174 Å³/f.u.
**E**: -14.54 eV/f.u.

This record from the Alexandria database describes a relaxed NaCaV2As crystal. The functional is PBE.

a = 4.565 Å, b = 4.565 Å, c = 5.000 Å
α = 90.00°, β = 90.00°, γ = 90.00°
Fractional coordinates of all 5 atoms:
Na 0.000 0.000 0.000
Ca 0.000 0.000 0.500
V 0.000 0.500 0.500
V 0.500 0.000 0.500
As 0.500 0.500 0.000

Calculated values
**Magnetic moment**: 0.00 Bohr magnetons per cell
**V**: 104 Å³/f.u.
**E**: -16.60 eV/f.u.

This record from the Alexandria database describes a relaxed NaCaZnAs crystal. The functional is PBE.

a = 5.080 Å, b = 5.080 Å, c = 5.080 Å
α = 60.00°, β = 60.00°, γ = 60.00°
Fractional coordinates of all 4 atoms:
Na 0.000 0.000 0.000
Ca 0.500 0.500 0.500
Zn 0.750 0.750 0.750
As 0.250 0.250 0.250

Calculated values
**Magnetic moment**: 0.00 Bohr magnetons per cell
**V**: 93 Å³/f.u.
**E**: -11.15 eV/f.u.